SCAN LaHfMg3, single point on PBEsol structure; ΔE_f = 3.78 eV per formula unit; crystal system = cubic; calculated total energy = -0.859 hartree per atom; space group = Pm-3m
1.0
5.3445 0.0000 0.0000
0.0000 5.3445 0.0000
0.0000 0.0000 5.3445
La Hf Mg
1 1 3
Direct
0.0000 0.0000 0.0000
0.5000 0.5000 0.5000
0.0000 0.5000 0.5000
0.5000 0.0000 0.5000
0.5000 0.5000 0.0000